# CaGeNO2

CaGeNO2 after structural relaxation (PBEsol, Alexandria via LeMat-Bulk).

Calculated values
M_tot = 0.60 μB/atom
final energy = -0.1797 Ha/atom
E_form (uncorrected) = 1.7 eV per formula unit
calculated volume = 80 Å³/f.u.
space group = P4/mmm (123)

a b c (Å): 4.2559 4.2559 4.4027
angles (deg): 90.00 90.00 90.00
Closest atoms and distances in Å follow each position.
Positions (direct):
Ge  0.5000  0.5000  0.5000  4 N 3.01, 8 O 3.06
Ca  0.0000  0.0000  0.0000  4 O 2.13, 2 N 2.20
O  0.0000  0.5000  0.0000  2 Ca 2.13
O  0.5000  0.0000  0.0000  2 Ca 2.13
N  0.0000  0.0000  0.5000  2 Ca 2.20


# CaRu3

CaRu3 after structural relaxation (PBEsol, Alexandria via LeMat-Bulk).

Calculated values
M_tot = 0.00 μB/atom
final energy = -0.2840 Ha/atom
calculated volume = 61 Å³/f.u.
space group = Imm2 (44)
energy relative to the elements = 435 meV per atom

a b c (Å): 2.7531 4.8229 5.3834
angles (deg): 116.61 104.82 90.00
Closest atoms and distances in Å follow each position.
Positions (direct):
Ca  0.0000  0.0233  0.0000  10 Ru 2.70-2.93, 2 Ca 2.75
Ru  0.5000  0.5058  0.0000  6 Ru 2.61-2.75, 4 Ca 2.70-2.85
Ru  0.2273  0.8794  0.4546  8 Ru 2.61-2.81, 1 Ca 2.76
Ru  0.7727  0.4248  0.5454  8 Ru 2.61-2.81, 1 Ca 2.76


# MnBiS2Cl

MnBiS2Cl after structural relaxation (PBEsol, Alexandria via LeMat-Bulk).

Calculated values
M_tot = 0.76 μB/atom
final energy = -0.1917 Ha/atom
E_form (uncorrected) = -1.3 eV per formula unit
calculated volume = 98 Å³/f.u.
space group = P4/mmm (123)

a b c (Å): 4.4837 4.6813 4.6813
angles (deg): 90.00 90.00 90.00
Closest atoms and distances in Å follow each position.
Positions (direct):
S  0.0000  0.0000  0.5000  2 Mn 2.34
S  0.0000  0.5000  0.0000  2 Mn 2.34
Mn  0.0000  0.0000  0.0000  2 Cl 2.24, 4 S 2.34
Bi  0.5000  0.5000  0.5000  8 S 3.24, 4 Cl 3.31
Cl  0.5000  0.0000  0.0000  2 Mn 2.24


Repeat the first record exactly.
# CaGeNO2

CaGeNO2 after structural relaxation (PBEsol, Alexandria via LeMat-Bulk).

Calculated values
M_tot = 0.60 μB/atom
final energy = -0.1797 Ha/atom
E_form (uncorrected) = 1.7 eV per formula unit
calculated volume = 80 Å³/f.u.
space group = P4/mmm (123)

a b c (Å): 4.2559 4.2559 4.4027
angles (deg): 90.00 90.00 90.00
Closest atoms and distances in Å follow each position.
Positions (direct):
Ge  0.5000  0.5000  0.5000  4 N 3.01, 8 O 3.06
Ca  0.0000  0.0000  0.0000  4 O 2.13, 2 N 2.20
O  0.0000  0.5000  0.0000  2 Ca 2.13
O  0.5000  0.0000  0.0000  2 Ca 2.13
N  0.0000  0.0000  0.5000  2 Ca 2.20


Copy entry 1 word for word.
# CaGeNO2

CaGeNO2 after structural relaxation (PBEsol, Alexandria via LeMat-Bulk).

Calculated values
M_tot = 0.60 μB/atom
final energy = -0.1797 Ha/atom
E_form (uncorrected) = 1.7 eV per formula unit
calculated volume = 80 Å³/f.u.
space group = P4/mmm (123)

a b c (Å): 4.2559 4.2559 4.4027
angles (deg): 90.00 90.00 90.00
Closest atoms and distances in Å follow each position.
Positions (direct):
Ge  0.5000  0.5000  0.5000  4 N 3.01, 8 O 3.06
Ca  0.0000  0.0000  0.0000  4 O 2.13, 2 N 2.20
O  0.0000  0.5000  0.0000  2 Ca 2.13
O  0.5000  0.0000  0.0000  2 Ca 2.13
N  0.0000  0.0000  0.5000  2 Ca 2.20


Q: Look up the final energy of the third one.
A: -0.1917 Ha/atom


Q: The lowest M_tot belongs to which entry?
A: CaRu3